The following is a PBE calculation of NaTmCrCl6 after structural relaxation, from Alexandria via LeMat-Bulk.

Output
The value obtained for the total energy is -4.655 eV per atom. The total moment is 4.0 μB per formula unit. The formation energy (no corrections) is -15.4 eV/f.u.

abc: 6.5771 6.5771 12.6708
angles: 90.00 90.00 120.00
Space group P-31c (No. 163)
One atom of each set of equivalent atoms:
1 Na 0.0000 0.0000 0.0000 [2 per cell]
2 Tm 0.3333 0.6667 0.2500 [2 per cell]
3 Cr 0.3333 0.6667 0.7500 [2 per cell]
4 Cl 0.0110 0.3626 0.6355 [12 per cell]